Record 1
Entry from the Alexandria database: an optimized crystal structure of ReNi2Pb (PBEsol).

Values from the calculation:
Formation enthalpy at 0 K, kJ/mol of atoms: 54

POSCAR file:
```
ReNi2Pb
1.0
3.5461 0.0000 0.0000
0.0000 4.0090 0.0000
0.0000 0.0000 4.0090
Ni Pb Re
2 1 1
Cartesian
0.0000 0.0000 2.0045 Ni
0.0000 2.0045 0.0000 Ni
1.7731 2.0045 2.0045 Pb
1.7731 0.0000 0.0000 Re
```

Record 2
Entry from the Alexandria database: an optimized crystal structure of ReNi2Pb (PBEsol).

Values from the calculation:
Formation enthalpy at 0 K, kJ/mol of atoms: 52

POSCAR file:
```
ReNi2Pb
1.0
-1.1008 -2.5513 -0.7405
1.3608 -1.6498 -1.9225
4.4321 -5.0859 5.3508
Ni Re Pb
2 1 1
Cartesian
1.0803 -2.2431 0.5388 Ni
3.6118 -7.0439 2.1490 Ni
0.0000 0.0000 0.0000 Re
2.3460 -4.6435 1.3439 Pb
```

Record 3
Entry from the Alexandria database: an optimized crystal structure of ReNi2Pb (PBEsol).

Values from the calculation:
Formation enthalpy at 0 K, kJ/mol of atoms: 53

POSCAR file:
```
ReNi2Pb
1.0
-0.5630 1.5622 2.3161
0.9815 -4.0557 1.2208
4.9193 1.8687 -0.0647
Pb Re Ni
1 1 2
Cartesian
2.4597 0.9344 -0.0324 Pb
-0.2815 0.7811 1.1580 Re
4.0625 0.5935 2.3405 Ni
1.2753 -1.2182 1.1317 Ni
```

Record 4
Entry from the Alexandria database: an optimized crystal structure of ReNi2Pb (PBEsol).

Values from the calculation:
Formation enthalpy at 0 K, kJ/mol of atoms: 68

POSCAR file:
```
ReNi2Pb
1.0
-1.3559 0.0166 -4.1435
-3.8236 -1.8127 -1.0497
-3.3545 2.5196 -1.1858
Ni Pb Re
2 1 1
Cartesian
-6.4005 0.5426 -4.7843 Ni
0.0000 0.0000 0.0000 Ni
-4.2670 0.3618 -3.1896 Pb
-2.1335 0.1809 -1.5948 Re
```

Record 5
Entry from the Alexandria database: an optimized crystal structure of ReNiSbPb2 (PBEsol).

Values from the calculation:
Uncorrected energy, eV/atom: -5.4000

POSCAR file:
```
ReNiSbPb2
1.0
-3.8170 -0.1401 3.0087
-0.0755 -4.8957 -0.3238
3.0387 -0.3010 3.8411
Sb Pb Re Ni
1 2 1 1
Cartesian
-0.4269 -2.6684 3.2630 Sb
-0.0378 -2.4479 -0.1619 Pb
1.5194 -0.1505 1.9205 Pb
-1.9085 -0.0701 1.5044 Re
0.0000 0.0000 0.0000 Ni
```

Record 6
Entry from the Alexandria database: an optimized crystal structure of Ni2RhPb (PBEsol).

Values from the calculation:
Formation enthalpy at 0 K, kJ/mol of atoms: 53

POSCAR file:
```
Ni2RhPb
1.0
2.9298 0.0000 0.0000
1.4649 2.5373 0.0000
1.4649 0.8458 8.1392
Ni Pb Rh
2 1 1
Cartesian
1.4649 0.8458 1.8966 Ni
4.3947 2.5373 6.2426 Ni
2.9298 1.6915 4.0696 Pb
0.0000 0.0000 0.0000 Rh
```

Record 7
Entry from the Alexandria database: an optimized crystal structure of NiRh2Pb (PBEsol).

Values from the calculation:
Formation enthalpy at 0 K, kJ/mol of atoms: 8

POSCAR file:
```
NiRh2Pb
1.0
-3.3782 2.2062 -0.4459
-0.5434 -4.1969 1.8300
1.5293 2.8399 2.4647
Rh Pb Ni
2 1 1
Cartesian
0.0307 0.5830 2.6521 Rh
-2.4231 0.2662 1.1967 Rh
0.0000 0.0000 0.0000 Pb
-0.9245 2.5231 1.0094 Ni
```

Record 8
Entry from the Alexandria database: an optimized crystal structure of NiRu2Pb (PBEsol).

Values from the calculation:
Formation enthalpy at 0 K, kJ/mol of atoms: 55

POSCAR file:
```
NiRu2Pb
1.0
-3.0412 -3.1284 -0.4136
-0.5232 -2.9803 3.1703
-3.5869 0.0845 2.5166
Pb Ru Ni
1 2 1
Cartesian
-1.7878 -1.5060 1.3183 Pb
-5.3635 -4.5181 3.9550 Ru
0.0000 0.0000 0.0000 Ru
-3.5757 -3.0121 2.6366 Ni
```

Record 9
Entry from the Alexandria database: an optimized crystal structure of Ni2RuPb (PBEsol).

Values from the calculation:
Formation enthalpy at 0 K, kJ/mol of atoms: 40

POSCAR file:
```
Ni2RuPb
1.0
-1.5644 1.9509 -1.6542
-2.2081 -3.9290 0.1719
-1.5517 2.0446 3.8787
Ru Ni Pb
1 2 1
Cartesian
-0.7759 1.0223 1.9394 Ru
-3.3237 0.9905 1.5943 Ni
-2.0005 -0.9241 0.8022 Ni
-0.7822 0.9754 -0.8271 Pb
```

Record 10
Entry from the Alexandria database: an optimized crystal structure of NiRu2Pb (PBEsol).

Values from the calculation:
Formation enthalpy at 0 K, kJ/mol of atoms: 51

POSCAR file:
```
NiRu2Pb
1.0
-1.6804 -2.4355 -0.7479
1.0777 0.1324 -2.8523
4.8671 -3.8677 1.6595
Ni Pb Ru
1 1 2
Cartesian
-0.3013 -1.1515 -1.8001 Ni
2.1322 -3.0854 -0.9704 Pb
3.8709 -3.0761 1.3199 Ru
0.9961 -0.7916 0.3397 Ru
```

Record 11
Entry from the Alexandria database: an optimized crystal structure of NiRu2Pb (PBEsol).

Values from the calculation:
Formation enthalpy at 0 K, kJ/mol of atoms: 43

POSCAR file:
```
NiRu2Pb
1.0
-1.8284 0.8671 -2.0953
-2.4011 -1.0209 3.6976
1.1751 4.7223 0.9289
Ru Ni Pb
2 1 1
Cartesian
-1.6724 3.4834 0.8761 Ru
-1.3820 1.0851 1.6550 Ru
0.5876 2.3612 0.4644 Ni
-0.9142 0.4336 -1.0477 Pb
```

Record 12
Entry from the Alexandria database: an optimized crystal structure of NiRuPb2 (PBEsol).

Values from the calculation:
Formation enthalpy at 0 K, kJ/mol of atoms: 49

POSCAR file:
```
NiRuPb2
1.0
-0.7490 3.1242 -0.6495
-0.1281 1.0433 -3.1046
-7.9873 -0.5231 -1.5764
Pb Ru Ni
2 1 1
Cartesian
-6.7021 2.7200 -4.0001 Pb
-2.1624 0.9244 -1.3304 Pb
-4.4322 1.8222 -2.6652 Ru
0.0000 0.0000 0.0000 Ni
```

Number 1: V 14.25 A^3/atom. Number 2: V 15.13 A^3/atom. Number 3: V 15.27 A^3/atom. Number 4: V 14.65 A^3/atom. Number 5: V 23.42 A^3/atom. Number 6: V 15.13 A^3/atom. Number 7: V 14.86 A^3/atom. Number 8: V 14.88 A^3/atom. Number 9: V 14.53 A^3/atom. Number 10: V 14.98 A^3/atom. Number 11: V 15.15 A^3/atom. Number 12: V 18.46 A^3/atom.